Record 1
Entry from the Alexandria database: crystalline Y2Ho3In at its relaxed geometry (PBE).

**Energy relative to the elements**: -1.0 eV/f.u.
**Volume**: 29.6 Å³ per atom
**Raw total energy**: -5.062 eV per atom

Unit cell a=4.8789 b=4.8482 c=7.9016 alpha=107.87 beta=90.00 gamma=90.00
Atoms (fractional coordinates):
Y (0.0000, 0.6607, 0.3214)
Y (0.0000, 0.3393, 0.6786)
Ho (0.5000, 0.1681, 0.3363)
Ho (0.5000, 0.5000, 0.0000)
Ho (0.5000, 0.8319, 0.6637)
In (0.0000, 0.0000, 0.0000)


Record 2
Entry from the Alexandria database: crystalline Y2HoIn2 at its relaxed geometry (PBE).

**Energy relative to the elements**: -1.7 eV/f.u.
**Volume**: 28.0 Å³ per atom
**Raw total energy**: -4.938 eV per atom

Unit cell a=5.3805 b=6.5031 c=8.4429 alpha=90.00 beta=108.58 gamma=90.00
Atoms (fractional coordinates):
Y (0.9725, 0.7838, 0.9449)
Y (0.8026, 0.3455, 0.6053)
Y (0.1974, 0.8455, 0.3947)
Y (0.0275, 0.2838, 0.0551)
Ho (0.4025, 0.0811, 0.8050)
Ho (0.5975, 0.5811, 0.1950)
In (0.3989, 0.5661, 0.7978)
In (0.7848, 0.8579, 0.5696)
In (0.2152, 0.3579, 0.4304)
In (0.6011, 0.0661, 0.2022)


Record 3
Entry from the Alexandria database: crystalline Y2Ho6In at its relaxed geometry (PBE).

**Energy relative to the elements**: -0.1 eV/f.u.
**Volume**: 30.8 Å³ per atom
**Raw total energy**: -4.806 eV per atom

Unit cell a=3.4672 b=10.1339 c=9.5432 alpha=122.08 beta=100.47 gamma=89.99
Atoms (fractional coordinates):
Y (0.1530, 0.6531, 0.3061)
Y (0.8470, 0.3469, 0.6939)
Ho (0.1771, 0.3398, 0.3542)
Ho (0.8229, 0.9856, 0.6458)
Ho (0.8229, 0.6602, 0.6458)
Ho (0.4999, 0.2993, 0.0000)
Ho (0.1771, 0.0144, 0.3542)
Ho (0.5001, 0.7007, 0.0000)
In (0.0000, 0.0000, 0.0000)


Record 4
Entry from the Alexandria database: crystalline Y2HoIn9 at its relaxed geometry (PBE).

**Energy relative to the elements**: -5.0 eV/f.u.
**Volume**: 25.0 Å³ per atom
**Raw total energy**: -3.930 eV per atom

Unit cell a=4.6394 b=4.6394 c=13.9121 alpha=90.00 beta=90.00 gamma=90.00
Atoms (fractional coordinates):
Y (0.0000, 0.0000, 0.3331)
Y (0.0000, 0.0000, 0.6669)
Ho (0.0000, 0.0000, 0.0000)
In (0.5000, 0.5000, 0.0000)
In (0.5000, 0.5000, 0.3330)
In (0.5000, 0.5000, 0.6670)
In (0.5000, 0.0000, 0.1659)
In (0.5000, 0.0000, 0.5000)
In (0.5000, 0.0000, 0.8341)
In (0.0000, 0.5000, 0.1659)
In (0.0000, 0.5000, 0.5000)
In (0.0000, 0.5000, 0.8341)


Record 5
Entry from the Alexandria database: crystalline Y5Ho4In at its relaxed geometry (PBE).

**Energy relative to the elements**: -0.9 eV/f.u.
**Volume**: 30.7 Å³ per atom
**Raw total energy**: -5.428 eV per atom

Unit cell a=6.6233 b=6.6240 c=9.4077 alpha=84.36 beta=66.04 gamma=55.79
Atoms (fractional coordinates):
Y (0.7218, 0.4811, 0.8577)
Y (0.3527, 0.8526, 0.6421)
Y (0.5859, 0.1357, 0.3426)
Y (0.1449, 0.5336, 0.1471)
Y (0.7619, 0.9539, 0.9533)
Ho (0.3668, 0.3212, 0.7551)
Ho (0.9802, 0.7206, 0.5500)
Ho (0.9407, 0.2572, 0.4583)
Ho (0.5152, 0.6832, 0.2454)
In (0.1401, 0.0608, 0.0483)


Record 6
Entry from the Alexandria database: crystalline Y3Ho5In2 at its relaxed geometry (PBE).

**Energy relative to the elements**: 0.8 eV/f.u.
**Volume**: 31.3 Å³ per atom
**Raw total energy**: -4.691 eV per atom

Unit cell a=6.3391 b=10.5291 c=10.5291 alpha=95.17 beta=72.48 gamma=72.48
Atoms (fractional coordinates):
Y (0.2500, 0.0000, 0.0000)
Y (0.7500, 0.0000, 0.0000)
Y (0.3878, 0.3415, 0.8828)
Y (0.6122, 0.6585, 0.1172)
Y (0.8878, 0.8828, 0.3415)
Y (0.1122, 0.1172, 0.6585)
Ho (0.2500, 0.5000, 0.5000)
Ho (0.7500, 0.5000, 0.5000)
Ho (0.5012, 0.7488, 0.7488)
Ho (0.9988, 0.2512, 0.2512)
Ho (0.4988, 0.2512, 0.2512)
Ho (0.0012, 0.7488, 0.7488)
Ho (0.1234, 0.5403, 0.2130)
Ho (0.8766, 0.4597, 0.7870)
Ho (0.6234, 0.2130, 0.5403)
Ho (0.3766, 0.7870, 0.4597)
In (0.1351, 0.7182, 0.0115)
In (0.8649, 0.2818, 0.9885)
In (0.6351, 0.0115, 0.7182)
In (0.3649, 0.9885, 0.2818)


Record 7
Entry from the Alexandria database: crystalline Y2HoIn2 at its relaxed geometry (PBE).

**Energy relative to the elements**: -2.0 eV/f.u.
**Volume**: 27.7 Å³ per atom
**Raw total energy**: -4.992 eV per atom

Unit cell a=3.7609 b=5.3352 c=13.9540 alpha=90.00 beta=97.76 gamma=90.00
Atoms (fractional coordinates):
Y (0.0479, 0.7500, 0.0960)
Y (0.9521, 0.2500, 0.9040)
Y (0.2370, 0.7500, 0.4741)
Y (0.7630, 0.2500, 0.5259)
Ho (0.8517, 0.7500, 0.7021)
Ho (0.1483, 0.2500, 0.2979)
In (0.6432, 0.7500, 0.2876)
In (0.3568, 0.2500, 0.7124)
In (0.4496, 0.7500, 0.8996)
In (0.5504, 0.2500, 0.1004)


Record 8
Entry from the Alexandria database: crystalline YHo8In6 at its relaxed geometry (PBE).

**Energy relative to the elements**: -3.2 eV/f.u.
**Volume**: 30.2 Å³ per atom
**Raw total energy**: -4.178 eV per atom

Unit cell a=8.9985 b=8.9985 c=8.2965 alpha=57.16 beta=57.16 gamma=60.00
Atoms (fractional coordinates):
Y (0.0000, 0.0000, 0.0000)
Ho (0.5527, 0.2210, 0.3389)
Ho (0.7790, 0.1126, 0.6611)
Ho (0.1126, 0.4473, 0.6611)
Ho (0.6665, 0.6665, 0.0006)
Ho (0.3335, 0.3335, 0.9994)
Ho (0.8874, 0.5527, 0.3389)
Ho (0.2210, 0.8874, 0.3389)
Ho (0.4473, 0.7790, 0.6611)
In (0.3932, 0.0597, 0.8211)
In (0.9403, 0.2741, 0.1789)
In (0.2741, 0.6068, 0.1789)
In (0.7259, 0.3932, 0.8211)
In (0.0597, 0.7259, 0.8211)
In (0.6068, 0.9403, 0.1789)